[1]
Material: FeSiCl2
Method: DFT, meta-GGA SCAN
State: single point on PBEsol structure

Its raw total energy is -10.632 eV per atom. Its density of states at the Fermi level is 2.70 states/eV/f.u. The value obtained for the energy above the most stable polymorph in this dataset is 1.751 eV per formula unit. The value obtained for the formation energy from raw total energies is 0.393 eV per atom.

Structure (POSCAR):
```
FeSiCl2
1.0
-1.711 0.098 3.134
2.771 -1.624 1.563
1.787 5.782 -1.242
Cl Si Fe
2 1 1
direct
0.000 0.000 0.000
0.750 0.250 0.500
0.250 0.750 0.500
0.500 0.500 0.000
```

[2]
Material: FeSiCl2
Method: DFT, meta-GGA SCAN
State: single point on PBEsol structure

Its raw total energy is -10.951 eV per atom. Its density of states at the Fermi level is 1.42 states/eV/f.u. The value obtained for the energy above the most stable polymorph in this dataset is 0.476 eV per formula unit. The value obtained for the formation energy from raw total energies is 0.074 eV per atom.

Structure (POSCAR):
```
FeSiCl2
1.0
-1.649 0.093 2.553
0.870 -2.823 -1.145
7.101 0.334 4.573
Si Cl Fe
1 2 1
direct
0.500 0.000 0.000
0.000 0.000 0.291
0.000 0.000 0.709
0.500 0.000 0.500
```

[3]
Material: FeSiCl2
Method: DFT, meta-GGA SCAN
State: single point on PBEsol structure

Its raw total energy is -11.070 eV per atom. Its density of states at the Fermi level is 1.71 states/eV/f.u. The value obtained for the energy above the most stable polymorph in this dataset is 0.000 eV per formula unit. The value obtained for the formation energy from raw total energies is -0.045 eV per atom.

Structure (POSCAR):
```
FeSiCl2
1.0
-2.607 -1.245 -0.959
-0.847 -1.448 4.181
-1.037 6.257 -0.470
Cl Fe Si
2 1 1
direct
0.830 0.330 0.661
0.044 0.044 0.087
0.478 0.478 0.956
0.148 0.648 0.296
```